Material: BaZnAs2
Method: DFT, meta-GGA SCAN
State: single point on PBEsol structure

The structure in POSCAR format:
```
BaZnAs2
1.0
-2.0733 -0.0029 -3.4372
-4.0114 -1.3905 2.4208
-0.8679 5.4909 0.5188
Ba As Zn
1 2 1
direct
0.5000 0.0000 0.5000
0.0000 0.5561 0.7292
0.0000 0.4439 0.2708
0.5000 0.5000 0.0000
```

Calculated values
* calculated formation energy: -608 meV/atom